Crystalline TlGaCl5 at its relaxed geometry. Source: Alexandria via LeMat-Bulk, functional PBE.

Calculated values
Size of the total moment in μB per formula unit: 0.0
Total DFT energy (no corrections) in eV per atom: -3.074
Symmetry: P-1, No. 2
Energy relative to the elements, uncorrected in meV/atom: -985

abc: 7.203 7.759 9.755
angles: 104.41 107.92 99.60
Sites, in units of the cell vectors:
1 Tl 0.000 0.000 0.000
2 Tl 0.000 0.500 0.500
3 Ga 0.454 0.162 0.772
4 Ga 0.546 0.838 0.228
5 Cl 0.126 0.222 0.248
6 Cl 0.207 0.755 0.125
7 Cl 0.341 0.885 0.608
8 Cl 0.357 0.193 0.971
9 Cl 0.380 0.375 0.670
10 Cl 0.620 0.625 0.330
11 Cl 0.643 0.807 0.029
12 Cl 0.659 0.115 0.392
13 Cl 0.793 0.245 0.875
14 Cl 0.874 0.778 0.752